TbTmPSe: relaxed, PBE-GGA.

Cell and atoms, written as POSCAR:
```
TbTmPSe
1.0
1.974 1.140 6.928
-1.974 1.140 6.928
0.000 -2.279 6.928
Tb Tm P Se
1 1 1 1
Cartesian
0.000 0.000 0.000
0.000 0.000 16.942
0.000 0.000 8.542
0.000 0.000 4.948
```

Results
Formation energy from raw total energies = -660 kJ/mol of formula units
Total energy = -6.210 eV per atom
Density = 7.8 Mg/m³